# 1
VASP calculation (PBE-GGA) on an optimized crystal structure of LiCd2Pd.

abc: 3.4155 3.4155 6.0883
angles: 90.00 90.00 90.00
Closest atoms and distances in Å follow each position.
Space group P4/mmm (No. 123)
Inequivalent atoms, fractional coordinates:
Li 0.0000 0.0000 0.0000  8 Cd 2.86, 2 Pd 3.04
Cd 0.5000 0.5000 0.2510  4 Pd 2.85, 4 Li 2.86, 2 Cd 3.03-3.06
Pd 0.0000 0.0000 0.5000  8 Cd 2.85, 2 Li 3.04

- energy relative to the lowest polymorph listed for this composition (meV/atom) = 57
- total magnetization (Bohr magnetons per cell) = 0.00
- energy relative to the elements (eV/atom) = -0.3443

***

# 2
VASP calculation (PBE-GGA) on an optimized crystal structure of ThTiSi2Ru.

abc: 4.0948 4.0948 10.7869
angles: 90.00 90.00 90.00
Closest atoms and distances in Å follow each position.
Space group I-4m2 (No. 119)
Inequivalent atoms, fractional coordinates:
Th 0.0000 0.0000 0.0000  8 Si 3.15, 4 Ru 3.39, 4 Ti 3.39
Ti 0.0000 0.5000 0.7500  4 Si 2.52
Si 0.0000 0.0000 0.3859  1 Si 2.46, 2 Ru 2.52, 2 Ti 2.52
Ru 0.0000 0.5000 0.2500  4 Si 2.52

- total magnetization (Bohr magnetons per cell) = 0.00
- uncorrected formation energy (eV per formula unit) = -4.107

***

# 3
VASP calculation (PBE-GGA) on an optimized crystal structure of Pm3InHg4.

abc: 5.2402 5.2402 27.0003
angles: 90.00 90.00 120.00
Closest atoms and distances in Å follow each position.
Space group R-3m (No. 166, hexagonal axes)
Inequivalent atoms, fractional coordinates:
Pm 0.0000 0.0000 0.0000  8 Hg 3.18-3.26
Pm 0.0000 0.0000 0.2406  8 Hg 3.12-3.49
In 0.0000 0.0000 0.5000  8 Hg 3.27-3.52, 6 Pm 3.62
Hg 0.0000 0.0000 0.1207  5 Pm 3.12-3.26, 3 In 3.27
Hg 0.0000 0.0000 0.3697  7 Pm 3.18-3.49, 1 In 3.52

- energy relative to the lowest polymorph listed for this composition (meV/atom) = 0
- total magnetization (Bohr magnetons per cell) = 0.00
- energy relative to the elements (eV/atom) = -0.4433